A.
# TaNb3Br (PBE-GGA, relaxed)
data_TaNb3Br
_chemical_formula_sum 'Ta1 Nb3 Br1'
_space_group_name_H-M_alt 'P 1'
_space_group_IT_number 1
_cell_length_a 4.9862
_cell_length_b 4.9862
_cell_length_c 4.9862
_cell_angle_alpha 90.00
_cell_angle_beta 90.00
_cell_angle_gamma 90.00
loop_
_space_group_symop_operation_xyz
'x,y,z'
loop_
_atom_site_label
_atom_site_type_symbol
_atom_site_fract_x
_atom_site_fract_y
_atom_site_fract_z
_atom_site_occupancy
Nb1 Nb 0.0000 0.5000 0.0000 1
Nb2 Nb 0.0000 0.0000 0.5000 1
Nb3 Nb 0.5000 0.0000 0.0000 1
Br1 Br 0.5000 0.5000 0.5000 1
Ta1 Ta 0.0000 0.0000 0.0000 1
# Total moment (μB/cell): 0.00
# Calculated volume (Å³ per atom): 24.79



B.
# TaNb3Br (PBE-GGA, relaxed)
data_TaNb3Br
_chemical_formula_sum 'Ta1 Nb3 Br1'
_space_group_name_H-M_alt 'P 1'
_space_group_IT_number 1
_cell_length_a 4.7052
_cell_length_b 4.7052
_cell_length_c 4.7052
_cell_angle_alpha 90.00
_cell_angle_beta 90.00
_cell_angle_gamma 90.00
loop_
_space_group_symop_operation_xyz
'x,y,z'
loop_
_atom_site_label
_atom_site_type_symbol
_atom_site_fract_x
_atom_site_fract_y
_atom_site_fract_z
_atom_site_occupancy
Nb1 Nb 0.0000 0.5000 0.0000 1
Nb2 Nb 0.0000 0.0000 0.5000 1
Nb3 Nb 0.5000 0.0000 0.0000 1
Br1 Br 0.0000 0.0000 0.0000 1
Ta1 Ta 0.5000 0.5000 0.5000 1
# Total moment (μB/cell): 0.00
# Calculated volume (Å³ per atom): 20.83



Comparing the structures above, B comes out on top by 0.361 eV/atom.